No. 1
Density functional theory data (PBE) for an optimized crystal structure of HfThZr2N4.

Output
formation energy without anion corrections: -1591 meV per atom

The structure in POSCAR format:
```
HfThZr2N4
1.0
5.7591 0.0000 0.0000
0.0000 3.3112 0.0000
-1.9275 0.0000 5.6156
Hf Th Zr N
1 1 2 4
Cartesian
0.0000 0.0000 0.0000
-0.9638 1.6556 2.8078
1.9158 0.0000 2.8078
2.8795 1.6556 0.0000
0.9695 1.6556 1.2730
0.0047 0.0000 4.3763
3.8269 0.0000 1.2393
2.8621 1.6556 4.3426
```

***

No. 2
Density functional theory data (PBE) for an optimized crystal structure of K2HgBiH.

Output
distance to the lowest polymorph of the same formula: 89 meV/atom

The structure in POSCAR format:
```
K2HgBiH
1.0
4.9052 0.0000 0.0000
0.0000 4.9052 0.0000
0.0000 0.0000 5.7007
K Hg Bi H
2 1 1 1
Cartesian
0.0000 2.4526 0.0000
2.4526 0.0000 0.0000
0.0000 0.0000 2.8503
2.4526 2.4526 2.8503
0.0000 0.0000 0.0000
```

***

No. 3
Density functional theory data (PBE) for an optimized crystal structure of Dy2YTe.

Output
distance to the lowest polymorph of the same formula: 0 meV/atom
formation energy without anion corrections: -662 meV per atom

The structure in POSCAR format:
```
Dy2YTe
1.0
1.9800 -6.0502 0.0000
1.9800 6.0502 0.0000
0.0000 0.0000 9.8422
Dy Y Te
4 2 2
Cartesian
1.9800 4.4148 5.2961
1.9800 4.4148 9.4672
1.9800 -4.4148 0.3750
1.9800 -4.4148 4.5461
1.9800 0.6961 7.3816
1.9800 -0.6961 2.4605
1.9800 2.8475 2.4605
1.9800 -2.8475 7.3816
```

***

No. 4
Density functional theory data (PBE) for an optimized crystal structure of PmTm3Sn4.

Output
formation enthalpy at 0 K: -0.597 eV/atom

The structure in POSCAR format:
```
PmTm3Sn4
1.0
10.7935 0.0000 0.0000
0.0000 6.2956 0.0000
0.0000 0.0000 6.2966
Pm Tm Sn
2 6 8
Cartesian
0.0000 6.2929 0.0000
5.3967 0.0027 3.1483
0.0000 3.1465 3.1483
2.6981 1.5837 1.5707
2.6987 4.7119 4.7190
5.3967 3.1492 0.0001
8.0954 1.5837 1.5707
8.0948 4.7119 4.7190
0.0000 6.2949 3.1483
0.0000 3.1459 0.0007
2.6964 1.5728 4.7193
2.7003 4.7228 1.5710
5.3967 0.0008 6.2966
5.3967 3.1497 3.1490
8.0971 1.5728 4.7193
8.0931 4.7228 1.5710
```

***

No. 5
Density functional theory data (PBE) for an optimized crystal structure of Tm2In8Ir.

Output
formation enthalpy at 0 K: -0.327 eV/atom

The structure in POSCAR format:
```
Tm2In8Ir
1.0
4.6552 0.0000 0.0000
0.0000 4.6552 0.0000
0.0000 0.0000 12.0480
Tm In Ir
2 8 1
Cartesian
0.0000 0.0000 2.3195
0.0000 0.0000 9.7285
0.0000 2.3276 0.0000
0.0000 2.3276 4.5266
0.0000 2.3276 7.5214
2.3276 0.0000 0.0000
2.3276 0.0000 4.5266
2.3276 0.0000 7.5214
2.3276 2.3276 2.2970
2.3276 2.3276 9.7510
0.0000 0.0000 6.0240
```

***

No. 6
Density functional theory data (PBE) for an optimized crystal structure of Tl2HgSb.

Output
distance to the lowest polymorph of the same formula: 39 meV/atom
formation energy without anion corrections: 29 meV per atom

The structure in POSCAR format:
```
Tl2HgSb
1.0
-2.7989 2.7989 3.7556
2.7989 -2.7989 3.7556
2.7989 2.7989 -3.7556
Tl Hg Sb
2 1 1
Cartesian
0.0000 0.0000 0.0000
0.0000 2.7989 1.8778
2.7989 0.0000 1.8778
0.0000 0.0000 3.7556
```

***

no.,total magnetization (μB/f.u.)
1,0.00
2,0.00
3,0.00
4,0.00
5,0.00
6,0.00